Record 1
Entry from the Alexandria database: CeTlSe2 after structural relaxation (PBE).

## Properties
Formation energy (no corrections)   -104 kJ/mol of atoms
Density   7344 kg/m3

Structure (CIF):
```
data_CeTlSe2
_chemical_formula_sum 'Ce4 Tl4 Se8'
_cell_length_a 7.631
_cell_length_b 7.631
_cell_length_c 7.804
_cell_angle_alpha 90.00
_cell_angle_beta 90.00
_cell_angle_gamma 90.00
_space_group_name_H-M_alt 'I 4/m c m'
_space_group_IT_number 140
_space_group_name_Hall '-I 4 2c'
loop_
_atom_site_label
_atom_site_type_symbol
_atom_site_fract_x
_atom_site_fract_y
_atom_site_fract_z
Ce1 Ce 0.000 0.500 0.250
Tl1 Tl 0.000 0.000 0.250
Se1 Se 0.202 0.298 0.000
```

***

Record 2
Entry from the Alexandria database: Zr5Tl2Fe2 after structural relaxation (PBE).

## Properties
Density   8484 kg/m3
Calculated formation energy   -0.10 eV per atom

Structure (CIF):
```
data_Zr5Tl2Fe2
_chemical_formula_sum 'Zr20 Tl8 Fe8'
_cell_length_a 15.028
_cell_length_b 7.780
_cell_length_c 6.539
_cell_angle_alpha 90.00
_cell_angle_beta 90.00
_cell_angle_gamma 90.00
_space_group_name_H-M_alt 'C m c e'
_space_group_IT_number 64
_space_group_name_Hall '-C 2ac 2'
loop_
_atom_site_label
_atom_site_type_symbol
_atom_site_fract_x
_atom_site_fract_y
_atom_site_fract_z
Zr1 Zr 0.000 0.000 0.000
Zr2 Zr 0.111 0.186 0.343
Tl1 Tl 0.221 0.000 0.000
Fe1 Fe 0.000 0.118 0.622
```

***

Record 3
Entry from the Alexandria database: NpAl2Au6 after structural relaxation (PBE).

## Properties
Density   12856 kg/m3
Calculated formation energy   -0.17 eV per atom

Structure (CIF):
```
data_NpAl2Au6
_chemical_formula_sum 'Np2 Al4 Au12'
_cell_length_a 12.079
_cell_length_b 7.137
_cell_length_c 4.532
_cell_angle_alpha 90.00
_cell_angle_beta 103.14
_cell_angle_gamma 90.00
_space_group_name_H-M_alt 'C 1 2/m 1'
_space_group_IT_number 12
_space_group_name_Hall '-C 2y'
loop_
_atom_site_label
_atom_site_type_symbol
_atom_site_fract_x
_atom_site_fract_y
_atom_site_fract_z
Np1 Np 0.000 0.000 0.000
Al1 Al 0.188 0.500 0.709
Au1 Au 0.000 0.290 0.500
Au2 Au 0.181 0.299 0.199
```

***

Record 4
Entry from the Alexandria database: Th2TcNi after structural relaxation (PBE).

## Properties
Density   11655 kg/m3
Calculated formation energy   -0.18 eV per atom

Structure (CIF):
```
data_Th2TcNi
_chemical_formula_sum 'Th2 Tc1 Ni1'
_cell_length_a 3.506
_cell_length_b 3.506
_cell_length_c 7.194
_cell_angle_alpha 90.00
_cell_angle_beta 90.00
_cell_angle_gamma 90.00
_space_group_name_H-M_alt 'P 4/m m m'
_space_group_IT_number 123
_space_group_name_Hall '-P 4 2'
loop_
_atom_site_label
_atom_site_type_symbol
_atom_site_fract_x
_atom_site_fract_y
_atom_site_fract_z
Th1 Th 0.000 0.000 0.250
Tc1 Tc 0.500 0.500 0.000
Ni1 Ni 0.500 0.500 0.500
```

***

Record 5
Entry from the Alexandria database: Th2Sn3Rh4 after structural relaxation (PBE).

## Properties
Density   11006 kg/m3
Calculated formation energy   -0.78 eV per atom

Structure (CIF):
```
data_Th2Sn3Rh4
_chemical_formula_sum 'Th8 Sn12 Rh16'
_cell_length_a 6.089
_cell_length_b 16.841
_cell_length_c 7.250
_cell_angle_alpha 90.00
_cell_angle_beta 90.00
_cell_angle_gamma 90.00
_space_group_name_H-M_alt 'C m c e'
_space_group_IT_number 64
_space_group_name_Hall '-C 2ac 2'
loop_
_atom_site_label
_atom_site_type_symbol
_atom_site_fract_x
_atom_site_fract_y
_atom_site_fract_z
Th1 Th 0.000 0.103 0.083
Sn1 Sn 0.000 0.000 0.500
Sn2 Sn 0.250 0.235 0.750
Rh1 Rh 0.000 0.165 0.466
Rh2 Rh 0.250 0.073 0.750
```

***

Record 6
Entry from the Alexandria database: Sr3CaY3Se8 after structural relaxation (PBE).

## Properties
Formation energy (no corrections)   -188 kJ/mol of atoms
Density   4607 kg/m3

Structure (CIF):
```
data_Sr3CaY3Se8
_chemical_formula_sum 'Sr9 Ca3 Y9 Se24'
_cell_length_a 8.3834
_cell_length_b 8.3834
_cell_length_c 21.3432
_cell_angle_alpha 90.00
_cell_angle_beta 90.00
_cell_angle_gamma 120.00
_space_group_name_H-M_alt 'R -3 m'
_space_group_IT_number 166
_space_group_name_Hall '-R 3 2"'
loop_
_atom_site_label
_atom_site_type_symbol
_atom_site_fract_x
_atom_site_fract_y
_atom_site_fract_z
Sr1 Sr 0.0000 0.5000 0.0000
Ca1 Ca 0.0000 0.0000 0.5000
Y1 Y 0.0000 0.5000 0.5000
Se1 Se 0.0000 0.0000 0.2435
Se2 Se 0.0075 0.5037 0.7569
```

***

Record 7
Entry from the Alexandria database: BeCrSi2 after structural relaxation (PBE).

## Properties
Formation energy (no corrections)   23 kJ/mol of atoms
Density   4147 kg/m3

Structure (CIF):
```
data_BeCrSi2
_chemical_formula_sum 'Be1 Cr1 Si2'
_cell_length_a 2.545
_cell_length_b 2.545
_cell_length_c 7.242
_cell_angle_alpha 90.00
_cell_angle_beta 90.00
_cell_angle_gamma 90.00
_space_group_name_H-M_alt 'P 4 m m'
_space_group_IT_number 99
_space_group_name_Hall 'P 4 -2'
loop_
_atom_site_label
_atom_site_type_symbol
_atom_site_fract_x
_atom_site_fract_y
_atom_site_fract_z
Be1 Be 0.000 0.000 0.000
Cr1 Cr 0.500 0.500 0.227
Si1 Si 0.000 0.000 0.476
Si2 Si 0.500 0.500 0.772
```

***

Record 8
Entry from the Alexandria database: Np2Ge3Ir2 after structural relaxation (PBE).

## Properties
ΔE to the lowest computed polymorph   0.056 eV per atom
Density   13553 kg/m3
Calculated formation energy   -0.28 eV per atom

Structure (CIF):
```
data_Np2Ge3Ir2
_chemical_formula_sum 'Np4 Ge6 Ir4'
_cell_length_a 9.962
_cell_length_b 4.250
_cell_length_c 6.792
_cell_angle_alpha 90.00
_cell_angle_beta 113.49
_cell_angle_gamma 90.00
_space_group_name_H-M_alt 'C 1 2/m 1'
_space_group_IT_number 12
_space_group_name_Hall '-C 2y'
loop_
_atom_site_label
_atom_site_type_symbol
_atom_site_fract_x
_atom_site_fract_y
_atom_site_fract_z
Np1 Np 0.148 0.000 0.284
Ge1 Ge 0.000 0.500 0.500
Ge2 Ge 0.118 0.500 0.942
Ir1 Ir 0.142 0.000 0.719
```

***

Record 9
Entry from the Alexandria database: Ca4Mg2Cu after structural relaxation (PBE).

## Properties
ΔE to the lowest computed polymorph   0.496 eV per atom
Density   1513 kg/m3
Calculated formation energy   0.56 eV per atom

Structure (CIF):
```
data_Ca4Mg2Cu
_chemical_formula_sum 'Ca8 Mg4 Cu2'
_cell_length_a 11.079
_cell_length_b 11.079
_cell_length_c 4.872
_cell_angle_alpha 90.00
_cell_angle_beta 90.00
_cell_angle_gamma 90.00
_space_group_name_H-M_alt 'I 4/m m m'
_space_group_IT_number 139
_space_group_name_Hall '-I 4 2'
loop_
_atom_site_label
_atom_site_type_symbol
_atom_site_fract_x
_atom_site_fract_y
_atom_site_fract_z
Ca1 Ca 0.000 0.226 0.000
Mg1 Mg 0.000 0.500 0.250
Cu1 Cu 0.000 0.000 0.500
```

***

Record 10
Entry from the Alexandria database: DyZrTcHg after structural relaxation (PBE).

## Properties
Density   10855 kg/m3
Calculated formation energy   -0.13 eV per atom

Structure (CIF):
```
data_DyZrTcHg
_chemical_formula_sum 'Dy4 Zr4 Tc4 Hg4'
_cell_length_a 6.966
_cell_length_b 6.966
_cell_length_c 6.966
_cell_angle_alpha 90.00
_cell_angle_beta 90.00
_cell_angle_gamma 90.00
_space_group_name_H-M_alt 'F -4 3 m'
_space_group_IT_number 216
_space_group_name_Hall 'F -4 2 3'
loop_
_atom_site_label
_atom_site_type_symbol
_atom_site_fract_x
_atom_site_fract_y
_atom_site_fract_z
Dy1 Dy 0.000 0.000 0.000
Zr1 Zr 0.000 0.000 0.500
Tc1 Tc 0.250 0.250 0.750
Hg1 Hg 0.250 0.250 0.250
```

***

Record 11
Entry from the Alexandria database: NbAlIr after structural relaxation (PBE).

## Properties
Density   9368 kg/m3
Calculated formation energy   -0.52 eV per atom

Structure (CIF):
```
data_NbAlIr
_chemical_formula_sum 'Nb4 Al4 Ir4'
_cell_length_a 6.049
_cell_length_b 6.049
_cell_length_c 6.049
_cell_angle_alpha 90.00
_cell_angle_beta 90.00
_cell_angle_gamma 90.00
_space_group_name_H-M_alt 'F -4 3 m'
_space_group_IT_number 216
_space_group_name_Hall 'F -4 2 3'
loop_
_atom_site_label
_atom_site_type_symbol
_atom_site_fract_x
_atom_site_fract_y
_atom_site_fract_z
Nb1 Nb 0.000 0.000 0.000
Al1 Al 0.000 0.000 0.500
Ir1 Ir 0.250 0.250 0.750
```

***

Record 12
Entry from the Alexandria database: Pr3InN after structural relaxation (PBE).

## Properties
Formation energy (no corrections)   -80 kJ/mol of atoms
Density   6950 kg/m3

Structure (CIF):
```
data_Pr3InN
_chemical_formula_sum 'Pr3 In1 N1'
_cell_length_a 5.089
_cell_length_b 5.089
_cell_length_c 5.089
_cell_angle_alpha 90.00
_cell_angle_beta 90.00
_cell_angle_gamma 90.00
_space_group_name_H-M_alt 'P m -3 m'
_space_group_IT_number 221
_space_group_name_Hall '-P 4 2 3'
loop_
_atom_site_label
_atom_site_type_symbol
_atom_site_fract_x
_atom_site_fract_y
_atom_site_fract_z
Pr1 Pr 0.000 0.000 0.500
In1 In 0.500 0.500 0.500
N1 N 0.000 0.000 0.000
```

***

| no. | final energy (eV per atom) |
| --- | --- |
| 1 | -4.90 |
| 2 | -7.25 |
| 3 | -4.62 |
| 4 | -7.93 |
| 5 | -7.03 |
| 6 | -5.57 |
| 7 | -5.81 |
| 8 | -8.49 |
| 9 | -1.62 |
| 10 | -6.09 |
| 11 | -8.08 |
| 12 | -5.91 |